Record 1
DFT (PBE) results for a geometry-optimized Fe2HgB structure.

abc: 5.875 5.875 5.875
angles: 90.00 90.00 90.00
Atoms (fractional coordinates):
Fe 0.250 0.250 0.250
Fe 0.250 0.250 0.750
Fe 0.250 0.750 0.250
Fe 0.250 0.750 0.750
Fe 0.750 0.250 0.250
Fe 0.750 0.250 0.750
Fe 0.750 0.750 0.250
Fe 0.750 0.750 0.750
Hg 0.000 0.000 0.000
Hg 0.000 0.500 0.500
Hg 0.500 0.000 0.500
Hg 0.500 0.500 0.000
B 0.000 0.000 0.500
B 0.000 0.500 0.000
B 0.500 0.000 0.000
B 0.500 0.500 0.500

Values from the calculation:
Its space group is Fm-3m (225). The formation energy from the elements comes out at 933 meV per atom.

***

Record 2
DFT (PBE) results for a geometry-optimized LiPuSn2 structure.

abc: 3.168 3.168 9.434
angles: 90.00 90.00 90.00
Atoms (fractional coordinates):
Li 0.000 0.000 0.000
Pu 0.000 0.000 0.500
Sn 0.500 0.500 0.232
Sn 0.500 0.500 0.768

Values from the calculation:
Its space group is P4/mmm (123). The formation energy from the elements comes out at -303 meV per atom.

***

Record 3
DFT (PBE) results for a geometry-optimized FeSiB2 structure.

abc: 4.721 4.721 8.502
angles: 90.00 90.00 90.00
Atoms (fractional coordinates):
Fe 0.000 0.000 0.000
Fe 0.000 0.500 0.250
Fe 0.500 0.000 0.750
Fe 0.500 0.500 0.500
Si 0.000 0.000 0.500
Si 0.000 0.500 0.750
Si 0.500 0.000 0.250
Si 0.500 0.500 0.000
B 0.229 0.250 0.125
B 0.250 0.729 0.375
B 0.250 0.771 0.875
B 0.271 0.250 0.625
B 0.729 0.750 0.625
B 0.750 0.229 0.875
B 0.750 0.271 0.375
B 0.771 0.750 0.125

Values from the calculation:
Its space group is I-42d (122). Its formation energy (no corrections) is 673 meV per atom.

***

Record 4
DFT (PBE) results for a geometry-optimized Zn12In structure.

abc: 6.862 6.862 6.862
angles: 98.81 98.81 133.92
Atoms (fractional coordinates):
Zn 0.000 0.000 0.500
Zn 0.000 0.224 0.224
Zn 0.000 0.500 0.000
Zn 0.000 0.776 0.776
Zn 0.148 0.500 0.648
Zn 0.224 0.000 0.224
Zn 0.500 0.000 0.000
Zn 0.500 0.148 0.648
Zn 0.500 0.500 0.500
Zn 0.500 0.852 0.352
Zn 0.776 0.000 0.776
Zn 0.852 0.500 0.352
In 0.500 0.500 0.000

Values from the calculation:
Its space group is I4/mmm (139). The formation energy from the elements comes out at 55 meV per atom.

***

Record 5
DFT (PBE) results for a geometry-optimized ZrCdPb2 structure.

abc: 4.896 4.896 4.178
angles: 90.00 90.00 90.00
Atoms (fractional coordinates):
Zr 0.000 0.000 0.000
Cd 0.500 0.500 0.000
Pb 0.000 0.500 0.500
Pb 0.500 0.000 0.500

Values from the calculation:
Its space group is P4/mmm (123). The formation energy from the elements comes out at 17 meV per atom.

***

Record 6
DFT (PBE) results for a geometry-optimized CaNb2H structure.

abc: 3.125 4.647 9.836
angles: 90.80 90.48 90.01
Atoms (fractional coordinates):
Ca 0.000 0.000 0.000
Ca 0.238 0.494 0.763
Nb 0.266 0.969 0.318
Nb 0.563 0.498 0.172
Nb 0.576 0.986 0.574
Nb 0.913 0.484 0.453
H 0.059 0.508 0.043
H 0.065 0.354 0.266

Values from the calculation:
Its space group is P1 (1). The total energy comes out at -6.2519 eV per atom.

***

Record 7
DFT (PBE) results for a geometry-optimized RbBa2SrAg structure.

abc: 6.716 6.716 6.466
angles: 90.00 90.00 90.00
Atoms (fractional coordinates):
Rb 0.000 0.000 0.000
Ba 0.000 0.500 0.500
Ba 0.500 0.000 0.500
Sr 0.500 0.500 0.000
Ag 0.500 0.500 0.500

Values from the calculation:
Its space group is P4/mmm (123). The formation energy from the elements comes out at -48 meV per atom.

***

Record 8
DFT (PBE) results for a geometry-optimized K2AsPbSe4 structure.

abc: 8.692 8.692 8.692
angles: 121.44 118.55 90.03
Atoms (fractional coordinates):
K 0.000 0.000 0.000
K 0.500 0.000 0.000
K 0.500 0.000 0.500
K 0.500 0.500 0.500
As 0.000 0.000 0.500
As 0.000 0.500 0.000
Pb 0.000 0.500 0.500
Pb 0.500 0.500 0.000
Se 0.201 0.743 0.458
Se 0.215 0.257 0.958
Se 0.227 0.242 0.515
Se 0.227 0.712 0.985
Se 0.773 0.288 0.015
Se 0.773 0.758 0.485
Se 0.785 0.743 0.042
Se 0.799 0.257 0.542

Values from the calculation:
Its space group is Imma (74). Its formation energy (no corrections) is -559 meV per atom.

***

Record 9
DFT (PBE) results for a geometry-optimized B5C7 structure.

abc: 6.038 6.038 5.324
angles: 101.42 101.42 24.59
Atoms (fractional coordinates):
B 0.000 0.000 0.000
B 0.005 0.005 0.501
B 0.348 0.348 0.685
B 0.659 0.659 0.874
B 0.749 0.749 0.583
C 0.088 0.088 0.786
C 0.092 0.092 0.292
C 0.336 0.336 0.175
C 0.413 0.413 0.449
C 0.414 0.414 0.974
C 0.664 0.664 0.315
C 0.757 0.757 0.134

Values from the calculation:
Its space group is Cm (8). The formation energy from the elements comes out at 383 meV per atom.

***

Record 10
DFT (PBE) results for a geometry-optimized Cd2SbAs structure.

abc: 3.066 3.934 8.180
angles: 90.00 90.22 90.00
Atoms (fractional coordinates):
Cd 0.000 0.000 0.000
Cd 0.498 0.500 0.231
Sb 0.967 0.500 0.705
As 0.976 0.000 0.463

Values from the calculation:
Its space group is Pm (6). Its formation energy (no corrections) is 61 meV per atom.

***

Record 11
DFT (PBE) results for a geometry-optimized La5Ni2Ge5 structure.

abc: 7.988 7.988 11.271
angles: 126.02 126.02 30.68
Atoms (fractional coordinates):
La 0.000 0.000 0.000
La 0.304 0.304 0.410
La 0.377 0.377 0.191
La 0.623 0.623 0.809
La 0.696 0.696 0.590
Ni 0.390 0.390 0.738
Ni 0.610 0.610 0.262
Ge 0.000 0.000 0.500
Ge 0.069 0.069 0.325
Ge 0.309 0.309 0.869
Ge 0.691 0.691 0.131
Ge 0.931 0.931 0.675

Values from the calculation:
Its space group is C2/m (12). The formation energy from the elements comes out at -729 meV per atom.

***

Record 12
DFT (PBE) results for a geometry-optimized Sr3LiTl4 structure.

abc: 3.940 3.940 16.178
angles: 90.00 90.00 90.00
Atoms (fractional coordinates):
Sr 0.000 0.000 0.000
Sr 0.000 0.000 0.264
Sr 0.000 0.000 0.736
Li 0.000 0.000 0.500
Tl 0.500 0.500 0.127
Tl 0.500 0.500 0.403
Tl 0.500 0.500 0.597
Tl 0.500 0.500 0.873

Values from the calculation:
Its space group is P4/mmm (123). The formation energy from the elements comes out at -352 meV per atom.

***

Record 13
DFT (PBE) results for a geometry-optimized ErTiZn structure.

abc: 14.128 3.214 5.557
angles: 90.00 90.00 90.00
Atoms (fractional coordinates):
Er 0.177 0.000 0.000
Er 0.177 0.500 0.500
Er 0.823 0.000 0.000
Er 0.823 0.500 0.500
Ti 0.351 0.000 0.666
Ti 0.351 0.500 0.166
Ti 0.649 0.000 0.666
Ti 0.649 0.500 0.166
Zn 0.000 0.000 0.334
Zn 0.000 0.500 0.834
Zn 0.500 0.000 0.331
Zn 0.500 0.500 0.831

Values from the calculation:
Its space group is Amm2 (38). The formation energy from the elements comes out at 145 meV per atom.

***

Record 14
DFT (PBE) results for a geometry-optimized TcIr2Rh structure.

abc: 2.732 2.732 8.927
angles: 90.00 90.00 120.00
Atoms (fractional coordinates):
Tc 0.000 0.000 0.000
Ir 0.333 0.667 0.754
Ir 0.667 0.333 0.246
Rh 0.000 0.000 0.500

Values from the calculation:
Its space group is P-3m1 (164). The formation energy from the elements comes out at -106 meV per atom.

***

Record 15
DFT (PBE) results for a geometry-optimized Zr3CoH structure.

abc: 4.329 4.329 4.329
angles: 90.00 90.00 90.00
Atoms (fractional coordinates):
Zr 0.000 0.000 0.500
Zr 0.000 0.500 0.000
Zr 0.500 0.000 0.000
Co 0.500 0.500 0.500
H 0.000 0.000 0.000

Values from the calculation:
Its space group is Pm-3m (221). The total energy comes out at -7.2229 eV per atom.

***

Record 16
DFT (PBE) results for a geometry-optimized AgAs2Pt structure.

abc: 2.837 4.035 6.843
angles: 90.00 90.00 90.00
Atoms (fractional coordinates):
Ag 0.000 0.000 0.000
As 0.500 0.000 0.433
As 0.500 0.500 0.818
Pt 0.500 0.500 0.218

Values from the calculation:
Its space group is Pmm2 (25). The formation energy from the elements comes out at 43 meV per atom.

***

Record 17
DFT (PBE) results for a geometry-optimized CeGdU structure.

abc: 3.161 3.161 15.714
angles: 90.00 90.00 90.00
Atoms (fractional coordinates):
Ce 0.000 0.000 0.000
Ce 0.500 0.500 0.500
Gd 0.000 0.000 0.690
Gd 0.500 0.500 0.190
U 0.000 0.000 0.350
U 0.500 0.500 0.850

Values from the calculation:
Its space group is I4mm (107). The formation energy from the elements comes out at 285 meV per atom.

***

Record 18
DFT (PBE) results for a geometry-optimized CdPb2W2 structure.

abc: 7.202 7.202 4.297
angles: 90.00 90.00 90.00
Atoms (fractional coordinates):
Cd 0.000 0.000 0.000
Cd 0.500 0.500 0.000
Pb 0.172 0.328 0.500
Pb 0.328 0.828 0.500
Pb 0.672 0.172 0.500
Pb 0.828 0.672 0.500
W 0.120 0.620 0.000
W 0.380 0.120 0.000
W 0.620 0.880 0.000
W 0.880 0.380 0.000

Values from the calculation:
Its space group is P4/mbm (127). The formation energy from the elements comes out at 910 meV per atom.

***

Record 19
DFT (PBE) results for a geometry-optimized HfGaPd5 structure.

abc: 6.780 6.780 6.886
angles: 112.61 112.61 89.46
Atoms (fractional coordinates):
Hf 0.049 0.951 0.750
Hf 0.951 0.049 0.250
Ga 0.500 0.500 0.000
Ga 0.500 0.500 0.500
Pd 0.076 0.698 0.005
Pd 0.107 0.314 0.693
Pd 0.302 0.924 0.495
Pd 0.314 0.107 0.193
Pd 0.320 0.680 0.750
Pd 0.680 0.320 0.250
Pd 0.686 0.893 0.807
Pd 0.698 0.076 0.505
Pd 0.893 0.686 0.307
Pd 0.924 0.302 0.995

Values from the calculation:
Its space group is C2/c (15). The formation energy from the elements comes out at -282 meV per atom.

***

Record 20
DFT (PBE) results for a geometry-optimized RbSmAgSe3 structure.

abc: 8.187 8.187 10.984
angles: 90.00 90.00 150.04
Atoms (fractional coordinates):
Rb 0.249 0.751 0.750
Rb 0.751 0.249 0.250
Sm 0.500 0.500 0.000
Sm 0.500 0.500 0.500
Ag 0.032 0.968 0.250
Ag 0.968 0.032 0.750
Se 0.125 0.875 0.053
Se 0.125 0.875 0.447
Se 0.429 0.571 0.250
Se 0.571 0.429 0.750
Se 0.875 0.125 0.553
Se 0.875 0.125 0.947

Values from the calculation:
Its space group is Cmcm (63). Its formation energy (no corrections) is -1117 meV per atom.

***

Number 1: total moment 17.06 μB per cell, calculated density 10.58 g cm⁻³. Number 2: total moment 5.88 μB per cell, calculated density 8.57 g cm⁻³. Number 3: total moment 0.01 μB per cell, calculated density 3.70 g cm⁻³. Number 4: total moment 0.00 μB per cell, calculated density 6.98 g cm⁻³. Number 5: total moment 0.00 μB per cell, calculated density 10.25 g cm⁻³. Number 6: total moment 0.00 μB per cell, calculated density 5.28 g cm⁻³. Number 7: total moment 0.00 μB per cell, calculated density 3.16 g cm⁻³. Number 8: total moment 0.00 μB per cell, calculated density 4.84 g cm⁻³. Number 9: total moment 0.00 μB per cell, calculated density 2.90 g cm⁻³. Number 10: total moment 0.00 μB per cell, calculated density 7.09 g cm⁻³. Number 11: total moment 0.00 μB per cell, calculated density 6.71 g cm⁻³. Number 12: total moment 0.00 μB per cell, calculated density 7.19 g cm⁻³. Number 13: total moment 0.00 μB per cell, calculated density 7.39 g cm⁻³. Number 14: total moment 0.00 μB per cell, calculated density 16.84 g cm⁻³. Number 15: total moment 0.00 μB per cell, calculated density 6.83 g cm⁻³. Number 16: total moment 0.00 μB per cell, calculated density 9.60 g cm⁻³. Number 17: total moment 11.15 μB per cell, calculated density 11.32 g cm⁻³. Number 18: total moment 0.00 μB per cell, calculated density 13.33 g cm⁻³. Number 19: total moment 0.00 μB per cell, calculated density 9.73 g cm⁻³. Number 20: total moment 0.00 μB per cell, calculated density 5.24 g cm⁻³.